[1]
This record from Alexandria describes Tb2Ho3Cd after structural relaxation. The functional is PBE-GGA.

abc: 3.433 6.475 9.220
angles: 110.56 100.73 90.00
Positions (direct):
Tb: 0.308 0.928 0.615
Ho: 0.633 0.757 0.265
Ho: 0.367 0.492 0.735
Ho: 0.000 0.930 0.000
Tb: 0.692 0.313 0.385
Cd: 0.500 0.322 0.000

Results
Spin magnetization: 0.00 μB/f.u.
Symmetry: No. 44
Offset from the most stable computed form: 249.1 meV/atom
ΔE_f: 15.1 kJ per mole of atoms
DOS(E_F): 1.15 states/eV per atom
VASP energy: -3.8280 eV/atom

---

[2]
This record from Alexandria describes Tb3Ho4Cd after structural relaxation. The functional is PBE-GGA.

abc: 3.547 3.547 19.145
angles: 90.00 90.00 90.00
Positions (direct):
Tb: 0.500 0.500 0.762
Ho: 0.000 0.000 0.631
Ho: 0.000 0.000 0.369
Ho: 0.000 0.000 0.892
Tb: 0.500 0.500 0.500
Cd: 0.500 0.500 0.000
Ho: 0.000 0.000 0.108
Tb: 0.500 0.500 0.238

Results
Spin magnetization: 0.00 μB/f.u.
Symmetry: No. 123
Offset from the most stable computed form: 0.0 meV/atom
ΔE_f: -6.2 kJ per mole of atoms
DOS(E_F): 1.29 states/eV per atom
VASP energy: -4.2042 eV/atom

---

[3]
This record from Alexandria describes Tb3Ho2Cd after structural relaxation. The functional is PBE-GGA.

abc: 3.334 11.582 7.794
angles: 137.99 102.35 90.00
Positions (direct):
Ho: 0.827 0.567 0.655
Tb: 0.000 0.023 0.000
Ho: 0.173 0.913 0.345
Tb: 0.338 0.330 0.676
Tb: 0.662 0.653 0.324
Cd: 0.500 0.257 0.000

Results
Spin magnetization: 0.00 μB/f.u.
Symmetry: No. 44
Offset from the most stable computed form: 425.1 meV/atom
ΔE_f: 32.4 kJ per mole of atoms
DOS(E_F): 1.60 states/eV per atom
VASP energy: -3.6580 eV/atom

---

[4]
This record from Alexandria describes Tb5Ho2Cd after structural relaxation. The functional is PBE-GGA.

abc: 8.121 8.115 6.832
angles: 126.44 126.47 90.00
Positions (direct):
Tb: 0.242 0.242 0.936
Tb: 0.242 0.693 0.936
Tb: 0.693 0.693 0.936
Ho: 0.712 0.212 0.423
Tb: 0.693 0.242 0.936
Tb: 0.781 0.781 0.562
Cd: 0.202 0.202 0.403
Ho: 0.211 0.711 0.423

Results
Spin magnetization: 0.00 μB/f.u.
Symmetry: No. 107
Offset from the most stable computed form: 35.7 meV/atom
ΔE_f: 0.0 kJ per mole of atoms
DOS(E_F): 0.99 states/eV per atom
VASP energy: -4.1522 eV/atom

---

[5]
This record from Alexandria describes TbHoCd after structural relaxation. The functional is PBE-GGA.

abc: 3.604 3.604 6.985
angles: 104.95 104.95 90.00
Site moments in Bohr magnetons follow the coordinates.
Positions (direct):
Tb: 0.009 0.009 0.019  0.27
Cd: 0.668 0.668 0.336  0.01
Ho: 0.323 0.323 0.645  0.29

Results
Spin magnetization: 0.78 μB/f.u.
Symmetry: No. 107
Offset from the most stable computed form: 0.0 meV/atom
ΔE_f: -18.6 kJ per mole of atoms
DOS(E_F): 1.33 states/eV per atom
VASP energy: -3.5671 eV/atom

---

[6]
This record from Alexandria describes TbHo6Cd2 after structural relaxation. The functional is PBE-GGA.

abc: 3.722 6.545 11.613
angles: 75.41 80.78 73.48
Positions (direct):
Ho: 0.315 0.493 0.877
Cd: 0.353 0.083 0.211
Ho: 0.313 0.792 0.583
Ho: 0.986 0.689 0.340
Ho: 0.687 0.208 0.417
Tb: 0.000 0.000 0.000
Cd: 0.647 0.917 0.789
Ho: 0.685 0.507 0.123
Ho: 0.014 0.311 0.660

Results
Spin magnetization: 0.00 μB/f.u.
Symmetry: No. 12
ΔE_f: -12.3 kJ per mole of atoms
DOS(E_F): 1.05 states/eV per atom
VASP energy: -3.8971 eV/atom